Entry 1:
Material: Cd2PC
Method: DFT, PBE
State: relaxed

Cell lengths 6.461, 6.461, 6.461 Å; angles 126.62, 126.62, 78.87 degrees
Element x y z (fractional)
1 Cd 0.072 0.625 0.947
2 Cd 0.375 0.322 0.447
3 Cd 0.678 0.125 0.053
4 Cd 0.875 0.928 0.553
5 P 0.250 0.750 0.500
6 P 0.500 0.500 0.000
7 C 0.000 0.000 0.000
8 C 0.750 0.250 0.500

## Properties
- Electronic total energy: -2.897 eV per atom



Entry 2:
Material: CdPC3
Method: DFT, PBE
State: relaxed

Cell lengths 4.279, 4.279, 4.279 Å; angles 90.00, 90.00, 90.00 degrees
Element x y z (fractional)
1 Cd 0.000 0.000 0.000
2 P 0.500 0.500 0.500
3 C 0.000 0.000 0.500
4 C 0.000 0.500 0.000
5 C 0.500 0.000 0.000

## Properties
- Electronic total energy: -3.167 eV per atom



Entry 3:
Material: Cd2PC
Method: DFT, PBE
State: relaxed

Cell lengths 4.578, 4.578, 4.578 Å; angles 60.00, 60.00, 60.00 degrees
Element x y z (fractional)
1 Cd 0.250 0.250 0.250
2 Cd 0.750 0.750 0.750
3 P 0.000 0.000 0.000
4 C 0.500 0.500 0.500

## Properties
- Electronic total energy: -2.704 eV per atom



Entry 4:
Material: Cd2PC2
Method: DFT, PBE
State: relaxed

Cell lengths 12.521, 12.521, 12.521 Å; angles 168.32, 168.32, 16.55 degrees
Element x y z (fractional)
1 Cd 0.127 0.127 0.000
2 Cd 0.873 0.873 0.000
3 P 0.500 0.500 0.000
4 C 0.250 0.750 0.500
5 C 0.750 0.250 0.500

## Properties
- Electronic total energy: -3.552 eV per atom



Entry 5:
Material: Cd2PC2
Method: DFT, PBE
State: relaxed

Cell lengths 7.409, 7.409, 3.499 Å; angles 90.00, 90.00, 90.00 degrees
Element x y z (fractional)
1 Cd 0.200 0.300 0.000
2 Cd 0.300 0.800 0.000
3 Cd 0.700 0.200 0.000
4 Cd 0.800 0.700 0.000
5 P 0.000 0.000 0.000
6 P 0.500 0.500 0.000
7 C 0.060 0.440 0.500
8 C 0.440 0.940 0.500
9 C 0.560 0.060 0.500
10 C 0.940 0.560 0.500

## Properties
- Electronic total energy: -4.239 eV per atom



Entry 6:
Material: CdPC3
Method: DFT, PBE
State: relaxed

Cell lengths 3.754, 3.754, 3.754 Å; angles 90.00, 90.00, 90.00 degrees
Element x y z (fractional)
1 Cd 0.000 0.000 0.000
2 P 0.500 0.500 0.500
3 C 0.000 0.500 0.500
4 C 0.500 0.000 0.500
5 C 0.500 0.500 0.000

## Properties
- Electronic total energy: -4.757 eV per atom



Entry 7:
Material: RbCdPC2
Method: DFT, PBE
State: relaxed

Cell lengths 4.505, 4.505, 6.558 Å; angles 90.00, 90.00, 90.00 degrees
Element x y z (fractional)
1 Rb 0.000 0.000 0.000
2 Cd 0.000 0.000 0.500
3 P 0.500 0.500 0.000
4 C 0.000 0.500 0.500
5 C 0.500 0.000 0.500

## Properties
- Electronic total energy: -2.540 eV per atom



Entry 8:
Material: CdPCS2
Method: DFT, PBE
State: relaxed

Cell lengths 5.021, 5.021, 5.035 Å; angles 90.00, 90.00, 90.00 degrees
Element x y z (fractional)
1 Cd 0.000 0.000 0.000
2 P 0.000 0.000 0.500
3 C 0.500 0.500 0.500
4 S 0.000 0.500 0.000
5 S 0.500 0.000 0.000

## Properties
- Uncorrected formation energy: 2.32 eV/atom



Entry 9:
Material: CdPCS2
Method: DFT, PBE
State: relaxed

Cell lengths 4.624, 4.624, 3.723 Å; angles 90.00, 90.00, 90.00 degrees
Element x y z (fractional)
1 Cd 0.000 0.000 0.000
2 P 0.500 0.500 0.000
3 C 0.500 0.500 0.500
4 S 0.000 0.500 0.500
5 S 0.500 0.000 0.500

## Properties
- Uncorrected formation energy: 1.04 eV/atom



Entry 10:
Material: ScCd2PC
Method: DFT, PBE
State: relaxed

Cell lengths 5.881, 5.881, 4.829 Å; angles 90.00, 90.00, 90.00 degrees
Element x y z (fractional)
1 Sc 0.000 0.000 0.000
2 Cd 0.000 0.500 0.000
3 Cd 0.500 0.000 0.000
4 P 0.000 0.000 0.500
5 C 0.500 0.500 0.500

## Properties
- Electronic total energy: -2.877 eV per atom



Entry 11:
Material: ScCdP2C
Method: DFT, PBE
State: relaxed

Cell lengths 4.970, 4.970, 4.275 Å; angles 90.00, 90.00, 90.00 degrees
Element x y z (fractional)
1 Sc 0.000 0.000 0.000
2 Cd 0.500 0.500 0.500
3 P 0.000 0.500 0.000
4 P 0.500 0.000 0.000
5 C 0.000 0.000 0.500

## Properties
- Electronic total energy: -4.452 eV per atom



Entry 12:
Material: CdTcP2C
Method: DFT, PBE
State: relaxed

Cell lengths 4.810, 4.810, 5.348 Å; angles 90.00, 90.00, 90.00 degrees
Element x y z (fractional)
1 Cd 0.000 0.000 0.000
2 Tc 0.000 0.000 0.500
3 P 0.000 0.500 0.000
4 P 0.500 0.000 0.000
5 C 0.500 0.500 0.500

## Properties
- Electronic total energy: -3.352 eV per atom



Here are the calculated D(E_F) numbers, same order: 0.8990, 0.5985, 0.6437, 0.2926, 0.0969, 0.4929, 0.5106, 0.9887, 0.3754, 1.1770, 0.4804, 0.7225 (states/eV/atom).